The following is a PBE-GGA calculation of an optimized crystal structure of PO2, from the Alexandria database.

The space group is Cm (No. 8) and the conventional cell measures 6.462, 2.684 and 5.742 Å, with angles of 90.00, 111.31 and 90.00 degrees. The distinct sites, in fractional coordinates, are P at (0.000, 0.000, 0.000), O at (0.242, 0.000, 0.169) and O at (0.456, 0.000, 0.808).

As for the magnetization: 0.00 μB per formula unit. As for the uncorrected formation energy: -1145 meV per atom.

The following is a PBE-GGA calculation of an optimized crystal structure of La2CeCd6, from the Alexandria database.

The space group is C2/m (No. 12) and the conventional cell measures 15.429, 8.909 and 3.432 Å, with angles of 90.00, 90.00 and 90.00 degrees. The distinct sites, in fractional coordinates, are La at (0.167, 0.000, 0.000), Ce at (0.000, 0.500, 0.000), Cd at (0.000, 0.168, 0.500) and Cd at (0.166, 0.334, 0.499).

As for the magnetization: 1.64 μB per formula unit. As for the formation energy: -0.33 eV/atom.

The following is a PBE-GGA calculation of an optimized crystal structure of TlCrTc, from the Alexandria database.

The space group is I4mm (No. 107) and the conventional cell measures 2.989, 2.989 and 11.166 Å, with angles of 90.00, 90.00 and 90.00 degrees. The distinct sites, in fractional coordinates, are Tl at (0.000, 0.000, 0.000), Cr at (0.000, 0.000, 0.312) and Tc at (0.000, 0.000, 0.698).

As for the magnetization: 0.00 μB per formula unit. As for the energy above the most stable polymorph in this dataset: 0.00 eV/f.u. As for the formation energy: 0.47 eV/atom.

The following is a PBE-GGA calculation of an optimized crystal structure of La6Hg5Au, from the Alexandria database.

The space group is C2/m (No. 12) and the conventional cell measures 17.300, 7.828 and 5.480 Å, with angles of 90.00, 108.27 and 90.00 degrees. The distinct sites, in fractional coordinates, are La at (0.000, 0.240, 0.000), La at (0.162, 0.244, 0.662), Hg at (0.000, 0.500, 0.500), Hg at (0.167, 0.500, 0.167), Hg at (0.176, 0.000, 0.176) and Au at (0.000, 0.000, 0.500).

As for the magnetization: 1.28 μB per formula unit. As for the formation energy: -0.55 eV/atom.

The following is a PBE-GGA calculation of an optimized crystal structure of MnReRh2, from the Alexandria database.

The space group is P4/mmm (No. 123) and the conventional cell measures 4.582, 4.582 and 2.784 Å, with angles of 90.00, 90.00 and 90.00 degrees. The distinct sites, in fractional coordinates, are Mn at (0.000, 0.000, 0.000), Re at (0.500, 0.500, 0.000) and Rh at (0.000, 0.500, 0.500).

As for the magnetization: 3.86 μB per formula unit. As for the energy above the most stable polymorph in this dataset: 0.93 eV/f.u. As for the formation energy: 0.13 eV/atom.

The following is a PBE-GGA calculation of an optimized crystal structure of In2SnBi2, from the Alexandria database.

The space group is I4/mmm (No. 139) and the conventional cell measures 4.239, 4.239 and 17.309 Å, with angles of 90.00, 90.00 and 90.00 degrees. The distinct sites, in fractional coordinates, are In at (0.000, 0.500, 0.250), Sn at (0.000, 0.000, 0.000) and Bi at (0.000, 0.000, 0.407).

As for the magnetization: 0.00 μB per formula unit. As for the energy above the most stable polymorph in this dataset: 0.46 eV/f.u. As for the formation energy: 0.12 eV/atom.

The following is a PBE-GGA calculation of an optimized crystal structure of LiPmGa, from the Alexandria database.

The space group is P-6m2 (No. 187) and the conventional cell measures 4.7791, 4.7791 and 3.3860 Å, with angles of 90.00, 90.00 and 120.00 degrees. The distinct sites, in fractional coordinates, are Li at (0.0000, 0.0000, 0.0000), Pm at (0.6667, 0.3333, 0.5000) and Ga at (0.3333, 0.6667, 0.0000).

As for the magnetization: 0.01 μB per formula unit. As for the energy above the most stable polymorph in this dataset: 0.12 eV/f.u. As for the formation energy: -0.35 eV/atom.

The following is a PBE-GGA calculation of an optimized crystal structure of Nd5Dy2Ho6, from the Alexandria database.

The space group is Pbam (No. 55) and the conventional cell measures 11.663, 20.553 and 3.598 Å, with angles of 90.00, 90.00 and 90.00 degrees. The distinct sites, in fractional coordinates, are Nd at (0.000, 0.000, 0.000), Nd at (0.083, 0.273, 0.000), Nd at (0.199, 0.550, 0.000), Dy at (0.172, 0.711, 0.500), Ho at (0.061, 0.419, 0.500), Ho at (0.080, 0.132, 0.500) and Ho at (0.176, 0.862, 0.000).

As for the magnetization: 0.00 μB per formula unit. As for the formation energy: 0.09 eV/atom.

The following is a PBE-GGA calculation of an optimized crystal structure of InReAsBr2, from the Alexandria database.

The space group is P4/mmm (No. 123) and the conventional cell measures 5.382, 5.382 and 4.759 Å, with angles of 90.00, 90.00 and 90.00 degrees. The distinct sites, in fractional coordinates, are In at (0.000, 0.000, 0.000), Re at (0.500, 0.500, 0.500), As at (0.500, 0.500, 0.000) and Br at (0.000, 0.500, 0.500).

As for the magnetization: 1.04 μB per formula unit. As for the energy above the most stable polymorph in this dataset: 0.00 eV/f.u. As for the uncorrected formation energy: 308 meV per atom.

The following is a PBE-GGA calculation of an optimized crystal structure of MgRe3C, from the Alexandria database.

The space group is Pm-3m (No. 221) and the conventional cell measures 4.120, 4.120 and 4.120 Å, with angles of 90.00, 90.00 and 90.00 degrees. The distinct sites, in fractional coordinates, are Mg at (0.000, 0.000, 0.000), Re at (0.000, 0.500, 0.500) and C at (0.500, 0.500, 0.500).

As for the magnetization: 0.00 μB per formula unit. As for the energy above the most stable polymorph in this dataset: 0.00 eV/f.u. As for the formation energy: 0.35 eV/atom.

The following is a PBE-GGA calculation of an optimized crystal structure of RbV2Cd, from the Alexandria database.

The space group is I-42d (No. 122) and the conventional cell measures 4.513, 4.513 and 21.612 Å, with angles of 90.00, 90.00 and 90.00 degrees. The distinct sites, in fractional coordinates, are Rb at (0.000, 0.000, 0.000), V at (0.018, 0.250, 0.625) and Cd at (0.000, 0.000, 0.500).

As for the magnetization: 1.62 μB per formula unit. As for the formation energy: 1.32 eV/atom.

The following is a PBE-GGA calculation of an optimized crystal structure of MoW2Se, from the Alexandria database.

The space group is F-43m (No. 216) and the conventional cell measures 6.386, 6.386 and 6.386 Å, with angles of 90.00, 90.00 and 90.00 degrees. The distinct sites, in fractional coordinates, are Mo at (0.000, 0.000, 0.000), W at (0.000, 0.000, 0.500), W at (0.250, 0.250, 0.750) and Se at (0.250, 0.250, 0.250).

As for the magnetization: 0.00 μB per formula unit. As for the uncorrected formation energy: 597 meV per atom.

The following is a PBE-GGA calculation of an optimized crystal structure of TaSe5, from the Alexandria database.

The space group is Amm2 (No. 38) and the conventional cell measures 5.534, 3.589 and 14.445 Å, with angles of 90.00, 90.00 and 90.00 degrees. The distinct sites, in fractional coordinates, are Ta at (0.000, 0.000, 0.000), Se at (0.000, 0.000, 0.369), Se at (0.000, 0.000, 0.626), Se at (0.500, 0.000, 0.049), Se at (0.500, 0.000, 0.400) and Se at (0.500, 0.000, 0.678).

As for the magnetization: 0.00 μB per formula unit. As for the uncorrected formation energy: -47 meV per atom.

The following is a PBE-GGA calculation of an optimized crystal structure of AcYTm14, from the Alexandria database.

The space group is Amm2 (No. 38) and the conventional cell measures 11.182, 7.191 and 12.450 Å, with angles of 90.00, 90.00 and 90.00 degrees. The distinct sites, in fractional coordinates, are Ac at (0.000, 0.000, 0.000), Y at (0.000, 0.000, 0.500), Tm at (0.000, 0.249, 0.251), Tm at (0.251, 0.000, 0.668), Tm at (0.255, 0.000, 0.169), Tm at (0.256, 0.248, 0.417), Tm at (0.500, 0.000, 0.001), Tm at (0.500, 0.000, 0.501) and Tm at (0.500, 0.250, 0.251).

As for the magnetization: 0.00 μB per formula unit. As for the formation energy: 0.01 eV/atom.

The following is a PBE-GGA calculation of an optimized crystal structure of LiTcHg2, from the Alexandria database.

The space group is Cmm2 (No. 35) and the conventional cell measures 3.475, 4.430 and 9.631 Å, with angles of 90.00, 90.00 and 90.00 degrees. The distinct sites, in fractional coordinates, are Li at (0.000, 0.000, 0.000), Tc at (0.000, 0.500, 0.218), Hg at (0.000, 0.000, 0.459) and Hg at (0.000, 0.500, 0.766).

As for the magnetization: 0.00 μB per formula unit. As for the energy above the most stable polymorph in this dataset: 0.82 eV/f.u. As for the formation energy: 0.36 eV/atom.

The following is a PBE-GGA calculation of an optimized crystal structure of La3Ag2Hg2, from the Alexandria database.

The space group is P-1 (No. 2) and the conventional cell measures 5.162, 6.044 and 6.941 Å, with angles of 100.04, 90.06 and 115.14 degrees. The distinct sites, in fractional coordinates, are La at (0.000, 0.000, 0.000), La at (0.364, 0.729, 0.285), Ag at (0.115, 0.228, 0.443) and Hg at (0.331, 0.662, 0.786).

As for the magnetization: 0.00 μB per formula unit. As for the formation energy: -0.35 eV/atom.

The following is a PBE-GGA calculation of an optimized crystal structure of RbCoPtC2, from the Alexandria database.

The space group is P4/mmm (No. 123) and the conventional cell measures 3.752, 3.752 and 6.278 Å, with angles of 90.00, 90.00 and 90.00 degrees. The distinct sites, in fractional coordinates, are Rb at (0.000, 0.000, 0.000), Co at (0.000, 0.000, 0.500), Pt at (0.500, 0.500, 0.000) and C at (0.000, 0.500, 0.500).

As for the magnetization: 0.00 μB per formula unit. As for the formation energy: 1.98 eV/atom.

The following is a PBE-GGA calculation of an optimized crystal structure of Rb3PuS3, from the Alexandria database.

The space group is C2/m (No. 12) and the conventional cell measures 9.215, 14.223 and 8.268 Å, with angles of 90.00, 98.84 and 90.00 degrees. The distinct sites, in fractional coordinates, are Rb at (0.000, 0.182, 0.000), Rb at (0.000, 0.247, 0.500), Rb at (0.124, 0.500, 0.866), Pu at (0.188, 0.000, 0.637), S at (0.090, 0.000, 0.310) and S at (0.184, 0.352, 0.225).

As for the magnetization: 5.00 μB per formula unit. As for the uncorrected formation energy: -1230 meV per atom.

The following is a PBE-GGA calculation of an optimized crystal structure of Ce3Tm2ScS6, from the Alexandria database.

The space group is C2/m (No. 12) and the conventional cell measures 6.705, 11.621 and 6.891 Å, with angles of 90.00, 108.98 and 90.00 degrees. The distinct sites, in fractional coordinates, are Ce at (0.000, 0.000, 0.000), Ce at (0.000, 0.332, 0.000), Tm at (0.000, 0.166, 0.500), Sc at (0.000, 0.500, 0.500), S at (0.240, 0.336, 0.728) and S at (0.249, 0.000, 0.730).

As for the magnetization: 2.45 μB per formula unit. As for the uncorrected formation energy: -1983 meV per atom.

The following is a PBE-GGA calculation of an optimized crystal structure of Ti3TcAg, from the Alexandria database.

The space group is Pm-3m (No. 221) and the conventional cell measures 4.715, 4.715 and 4.715 Å, with angles of 90.00, 90.00 and 90.00 degrees. The distinct sites, in fractional coordinates, are Ti at (0.000, 0.000, 0.500), Tc at (0.000, 0.000, 0.000) and Ag at (0.500, 0.500, 0.500).

As for the magnetization: 1.49 μB per formula unit. As for the energy above the most stable polymorph in this dataset: 0.00 eV/f.u. As for the formation energy: 0.56 eV/atom.

Going through the records in order, we get total DFT energy (no corrections) values of -6.25; -2.70; -6.98; -3.41; -8.95; -3.32; -3.58; -4.56; -4.33; -9.28; -3.71; -9.46; -4.93; -4.56; -2.86; -3.36; -4.53; -5.46; -6.80; -6.82 eV per atom.